Entry 1:
Computed, not measured: a relaxed structure of KHo3Ag2Te6 at the GGA-PBE level of DFT.

Cell lengths 4.4751, 9.7354, 9.6507 Å; angles 105.65, 103.41, 90.00 degrees
Last column: nearest neighbours and their distance in Å.
Fractional positions:
Ho  0.1591  0.8169  0.3181  6 Te 3.03-3.17
Ho  0.5000  0.5000  0.0000  6 Te 3.08-3.11
Ho  0.8409  0.1831  0.6819  6 Te 3.03-3.17
Te  0.3256  0.9458  0.6512  2 Ag 2.87, 3 Ho 3.03-3.17, 1 K 3.17
Te  0.3294  0.3882  0.6589  3 Ho 3.05-3.08, 1 Ag 3.14
Te  0.9861  0.7130  0.9723  1 Ag 2.94, 3 Ho 3.11-3.12
Te  0.6744  0.0542  0.3488  2 Ag 2.87, 3 Ho 3.03-3.17, 1 K 3.17
Te  0.0139  0.2870  0.0277  1 Ag 2.94, 3 Ho 3.11-3.12
Te  0.6706  0.6118  0.3411  3 Ho 3.05-3.08, 1 Ag 3.14
K  0.5000  0.0000  0.0000  6 Te 3.17-3.53
Ag  0.1595  0.2280  0.3189  4 Te 2.87-3.14
Ag  0.8405  0.7720  0.6811  4 Te 2.87-3.14

Results
* symmetry: C2/m
* raw formation energy: -990 meV/atom


Entry 2:
Computed, not measured: a relaxed structure of KHoAgTe2 at the GGA-PBE level of DFT.

Cell lengths 4.8427, 8.2678, 8.6040 Å; angles 94.74, 90.00, 90.00 degrees
Last column: nearest neighbours and their distance in Å.
Fractional positions:
Ho  0.5027  0.0000  0.7500  4 Te 3.03, 4 Ag 3.23-3.25
Ho  0.4973  0.0000  0.2500  4 Te 3.03, 4 Ag 3.23-3.25
Te  0.4006  0.7477  0.4807  1 Ag 2.84, 2 Ho 3.03
Te  0.5994  0.2523  0.5193  1 Ag 2.84, 2 Ho 3.03
Te  0.5994  0.7477  0.9807  1 Ag 2.84, 2 Ho 3.03
Te  0.4006  0.2523  0.0193  1 Ag 2.84, 2 Ho 3.03
K  0.0766  0.5000  0.7500  6 Te 3.58-3.72
K  0.9234  0.5000  0.2500  6 Te 3.58-3.72
Ag  0.0000  0.0000  0.0000  2 Te 2.84
Ag  0.0000  0.0000  0.5000  2 Te 2.84

Results
* symmetry: P2/c
* raw formation energy: -803 meV/atom


Entry 3:
Computed, not measured: a relaxed structure of LaHoAg2 at the GGA-PBE level of DFT.

Cell lengths 3.6648, 3.6648, 7.6487 Å; angles 90.00, 90.00, 90.00 degrees
Last column: nearest neighbours and their distance in Å.
Fractional positions:
Ag  0.0000  0.0000  0.7784  4 Ho 3.10, 4 La 3.35, 1 Ag 3.39
Ag  0.0000  0.0000  0.2216  4 Ho 3.10, 4 La 3.35, 1 Ag 3.39
La  0.5000  0.5000  0.5000  8 Ag 3.35, 4 La 3.66
Ho  0.5000  0.5000  0.0000  8 Ag 3.10

Results
* symmetry: P4/mmm
* formation enthalpy at 0 K: -297 meV per atom


Entry 4:
Computed, not measured: a relaxed structure of LaHo2Ag at the GGA-PBE level of DFT.

Cell lengths 3.6474, 3.6474, 8.7065 Å; angles 90.00, 90.00, 90.00 degrees
Last column: nearest neighbours and their distance in Å.
Fractional positions:
La  0.5000  0.5000  0.5000  4 La 3.65, 8 Ho 3.65
Ho  0.0000  0.0000  0.7966  4 Ag 3.13
Ho  0.0000  0.0000  0.2034  4 Ag 3.13
Ag  0.5000  0.5000  0.0000  8 Ho 3.13

Results
* symmetry: P4/mmm
* formation enthalpy at 0 K: -127 meV per atom


Entry 5:
Computed, not measured: a relaxed structure of La2Ho2Ag at the GGA-PBE level of DFT.

Cell lengths 3.6802, 3.6802, 11.5473 Å; angles 99.17, 99.17, 90.00 degrees
Last column: nearest neighbours and their distance in Å.
Fractional positions:
Ho  0.4224  0.4224  0.8448  4 Ag 3.13, 1 Ho 3.49
Ho  0.5776  0.5776  0.1552  4 Ag 3.13, 1 Ho 3.49
Ag  0.0000  0.0000  0.0000  8 Ho 3.13
La  0.8091  0.8091  0.6182  4 Ho 3.64, 8 La 3.68-3.72
La  0.1909  0.1909  0.3818  4 Ho 3.64, 8 La 3.68-3.72

Results
* symmetry: I4/mmm
* formation enthalpy at 0 K: -98 meV per atom


Entry 6:
Computed, not measured: a relaxed structure of La6HoAg5 at the GGA-PBE level of DFT.

Cell lengths 5.4209, 7.7162, 8.7071 Å; angles 90.00, 108.12, 90.00 degrees
Last column: nearest neighbours and their distance in Å.
Fractional positions:
Ag  0.3332  0.5000  0.6657  8 La 3.26-3.34
Ag  0.3545  0.0000  0.7085  8 La 3.20-3.52
Ag  0.6668  0.5000  0.3343  8 La 3.26-3.34
Ag  0.6455  0.0000  0.2915  8 La 3.20-3.52
Ag  0.0000  0.5000  0.0000  8 La 3.23-3.50
La  0.5000  0.2717  0.0000  6 Ag 3.20-3.28, 2 Ho 3.43, 1 La 3.52
La  0.5000  0.7283  0.0000  6 Ag 3.20-3.28, 2 Ho 3.43, 1 La 3.52
La  0.1754  0.7532  0.3510  7 Ag 3.26-3.52, 1 Ho 3.47
La  0.1754  0.2469  0.3509  7 Ag 3.26-3.52, 1 Ho 3.47
La  0.8246  0.7531  0.6491  7 Ag 3.26-3.52, 1 Ho 3.47
La  0.8246  0.2468  0.6490  7 Ag 3.26-3.52, 1 Ho 3.47
Ho  0.0000  0.0000  0.0000  8 La 3.43-3.47, 4 Ag 3.63

Results
* symmetry: Cmmm
* formation enthalpy at 0 K: -170 meV per atom


Entry 7:
Computed, not measured: a relaxed structure of LaHo5Ag6 at the GGA-PBE level of DFT.

Cell lengths 5.1859, 7.2525, 8.2230 Å; angles 90.00, 71.62, 90.00 degrees
Last column: nearest neighbours and their distance in Å.
Fractional positions:
Ho  0.6688  0.0000  0.6623  8 Ag 3.11-3.26
Ho  0.6650  0.5000  0.6700  8 Ag 3.09-3.14
Ho  0.0000  0.5000  0.0000  8 Ag 3.11-3.21
Ho  0.3312  0.0000  0.3377  8 Ag 3.11-3.26
Ho  0.3350  0.5000  0.3300  8 Ag 3.09-3.14
Ag  0.8282  0.7430  0.3436  7 Ho 3.10-3.21, 1 La 3.27
Ag  0.8282  0.2570  0.3436  7 Ho 3.10-3.21, 1 La 3.27
Ag  0.5000  0.7356  0.0000  6 Ho 3.09-3.26, 2 La 3.23, 1 Ag 3.42
Ag  0.1718  0.7430  0.6564  7 Ho 3.10-3.21, 1 La 3.27
Ag  0.5000  0.2644  0.0000  6 Ho 3.09-3.26, 2 La 3.23, 1 Ag 3.42
Ag  0.1718  0.2570  0.6564  7 Ho 3.10-3.21, 1 La 3.27
La  0.0000  0.0000  0.0000  8 Ag 3.23-3.27

Results
* symmetry: Cmmm
* formation enthalpy at 0 K: -309 meV per atom


Entry 8:
Computed, not measured: a relaxed structure of La2HoAg at the GGA-PBE level of DFT.

Cell lengths 5.5649, 5.5649, 5.5649 Å; angles 60.00, 60.00, 60.00 degrees
Last column: nearest neighbours and their distance in Å.
Fractional positions:
La  0.2500  0.2500  0.2500  4 Ho 3.41, 4 Ag 3.41
La  0.7500  0.7500  0.7500  4 Ho 3.41, 4 Ag 3.41
Ag  0.5000  0.5000  0.5000  8 La 3.41
Ho  0.0000  0.0000  0.0000  8 La 3.41

Results
* symmetry: Fm-3m
* formation enthalpy at 0 K: 39 meV per atom


| no. | total moment (μB/cell) |
| --- | --- |
| 1 | 0.0 |
| 2 | 0.0 |
| 3 | 0.0 |
| 4 | 0.0 |
| 5 | 0.0 |
| 6 | 0.0 |
| 7 | 0.0 |
| 8 | 0.0 |